# AcHg2Au4, optimized geometry, DFT PBE
data_AcHg2Au4
_chemical_formula_sum 'Ac2 Hg4 Au8'
_cell_length_a 8.762
_cell_length_b 8.762
_cell_length_c 5.569
_cell_angle_alpha 90.00
_cell_angle_beta 90.00
_cell_angle_gamma 90.00
_space_group_name_H-M_alt 'I 4/m m m'
_space_group_IT_number 139
_space_group_name_Hall '-I 4 2'
loop_
_atom_site_label
_atom_site_fract_x
_atom_site_fract_y
_atom_site_fract_z
Ac1 0.000 0.000 0.000
Hg1 0.000 0.500 0.250
Au1 0.000 0.221 0.500
# calculated formation energy = -0.048 eV per atom
# calculated volume = 427.58 Å³ per cell
# distance to the lowest polymorph of the same formula = 2.43 eV per formula unit
# theoretical density = 11.00 Mg/m³
# density of states at the Fermi level = 4.68 states/eV per cell
# DFT total energy = -2.594 eV per atom

# Tm2Ga12Rh, optimized geometry, DFT PBE
data_Tm2Ga12Rh
_chemical_formula_sum 'Tm4 Ga24 Rh2'
_cell_length_a 6.025
_cell_length_b 6.025
_cell_length_c 15.534
_cell_angle_alpha 90.00
_cell_angle_beta 90.00
_cell_angle_gamma 90.00
_space_group_name_H-M_alt 'P 4/n b m'
_space_group_IT_number 125
loop_
_space_group_symop_operation_xyz
'x,y,z'
'-x,-y,-z'
'-y+1/2,x,z'
'y+1/2,-x,-z'
'-x+1/2,-y+1/2,z'
'x+1/2,y+1/2,-z'
'y,-x+1/2,z'
'-y,x+1/2,-z'
'x,-y+1/2,-z'
'-x,y+1/2,z'
'-y+1/2,-x+1/2,-z'
'y+1/2,x+1/2,z'
'-x+1/2,y,-z'
'x+1/2,-y,z'
'y,x,-z'
'-y,-x,z'
loop_
_atom_site_label
_atom_site_fract_x
_atom_site_fract_y
_atom_site_fract_z
Tm1 0.250 0.750 0.240
Ga1 0.000 0.000 0.089
Ga2 0.085 0.585 0.431
Ga3 0.250 0.250 0.192
Ga4 0.250 0.250 0.347
Rh1 0.250 0.750 0.000
# calculated formation energy = -0.368 eV per atom
# calculated volume = 563.98 Å³ per cell
# theoretical density = 7.52 Mg/m³
# density of states at the Fermi level = 9.27 states/eV per cell
# DFT total energy = -3.876 eV per atom

# Rb2Cd3AgPb4, optimized geometry, DFT PBE
data_Rb2Cd3AgPb4
_chemical_formula_sum 'Rb2 Cd3 Ag1 Pb4'
_cell_length_a 5.119
_cell_length_b 5.119
_cell_length_c 12.633
_cell_angle_alpha 90.00
_cell_angle_beta 90.00
_cell_angle_gamma 90.00
_space_group_name_H-M_alt 'P -4 m 2'
_space_group_IT_number 115
_space_group_name_Hall 'P -4 -2'
loop_
_atom_site_label
_atom_site_fract_x
_atom_site_fract_y
_atom_site_fract_z
Rb1 0.000 0.500 0.242
Cd1 0.000 0.000 0.000
Cd2 0.000 0.500 0.641
Ag1 0.500 0.500 0.000
Pb1 0.000 0.000 0.500
Pb2 0.000 0.500 0.879
Pb3 0.500 0.500 0.500
# calculated formation energy = -0.061 eV per atom
# calculated volume = 331.00 Å³ per cell
# theoretical density = 7.25 Mg/m³
# density of states at the Fermi level = 4.27 states/eV per cell
# DFT total energy = -2.298 eV per atom

# Zn2IrSe, optimized geometry, DFT PBE
data_Zn2IrSe
_chemical_formula_sum 'Zn4 Ir2 Se2'
_cell_length_a 9.090
_cell_length_b 2.939
_cell_length_c 6.119
_cell_angle_alpha 90.00
_cell_angle_beta 107.80
_cell_angle_gamma 90.00
_space_group_name_H-M_alt 'C 1 m 1'
_space_group_IT_number 8
_space_group_name_Hall 'C -2y'
loop_
_atom_site_label
_atom_site_fract_x
_atom_site_fract_y
_atom_site_fract_z
Zn1 0.000 0.000 0.000
Zn2 0.217 0.000 0.736
Ir1 0.472 0.000 0.643
Se1 0.368 0.500 0.304
# calculated volume = 155.63 Å³ per cell
# theoretical density = 8.58 Mg/m³
# energy relative to the elements, uncorrected = -0.4 eV/f.u.
# density of states at the Fermi level = 1.64 states/eV per cell
# DFT total energy = -3.823 eV per atom

# K4Ce3SmS8, optimized geometry, DFT PBE
data_K4Ce3SmS8
_chemical_formula_sum 'K12 Ce9 Sm3 S24'
_cell_length_a 8.3967
_cell_length_b 8.3967
_cell_length_c 22.1016
_cell_angle_alpha 90.00
_cell_angle_beta 90.00
_cell_angle_gamma 120.00
_space_group_name_H-M_alt 'R -3 m'
_space_group_IT_number 166
_space_group_name_Hall '-R 3 2"'
loop_
_atom_site_label
_atom_site_fract_x
_atom_site_fract_y
_atom_site_fract_z
K1 0.0000 0.0000 0.0000
K2 0.0000 0.5000 0.0000
Ce1 0.0000 0.5000 0.5000
Sm1 0.0000 0.0000 0.5000
S1 0.0000 0.0000 0.2354
S2 0.0025 0.5012 0.2352
# calculated volume = 1349.51 Å³ per cell
# theoretical density = 3.63 Mg/m³
# energy relative to the elements, uncorrected = -28.9 eV/f.u.
# density of states at the Fermi level = 55.52 states/eV per cell
# DFT total energy = -5.553 eV per atom

# Ni2MoRh, optimized geometry, DFT PBE
data_Ni2MoRh
_chemical_formula_sum 'Ni4 Mo2 Rh2'
_cell_length_a 8.744
_cell_length_b 2.691
_cell_length_c 4.494
_cell_angle_alpha 90.00
_cell_angle_beta 100.75
_cell_angle_gamma 90.00
_space_group_name_H-M_alt 'C 1 m 1'
_space_group_IT_number 8
_space_group_name_Hall 'C -2y'
loop_
_atom_site_label
_atom_site_fract_x
_atom_site_fract_y
_atom_site_fract_z
Ni1 0.000 0.000 0.000
Ni2 0.245 0.500 0.227
Mo1 0.495 0.000 0.484
Rh1 0.252 0.000 0.738
# calculated formation energy = -0.029 eV per atom
# calculated volume = 103.90 Å³ per cell
# distance to the lowest polymorph of the same formula = 0.40 eV per formula unit
# theoretical density = 10.11 Mg/m³
# density of states at the Fermi level = 11.38 states/eV per cell
# DFT total energy = -7.465 eV per atom

# ReHg2As, optimized geometry, DFT PBE
data_ReHg2As
_chemical_formula_sum 'Re1 Hg2 As1'
_cell_length_a 3.043
_cell_length_b 3.043
_cell_length_c 9.055
_cell_angle_alpha 90.00
_cell_angle_beta 90.00
_cell_angle_gamma 90.00
_space_group_name_H-M_alt 'P 4 m m'
_space_group_IT_number 99
_space_group_name_Hall 'P 4 -2'
loop_
_atom_site_label
_atom_site_fract_x
_atom_site_fract_y
_atom_site_fract_z
Re1 0.000 0.000 0.000
Hg1 0.000 0.000 0.476
Hg2 0.500 0.500 0.777
As1 0.500 0.500 0.159
# calculated formation energy = 0.350 eV per atom
# calculated volume = 83.87 Å³ per cell
# theoretical density = 13.11 Mg/m³
# density of states at the Fermi level = 2.05 states/eV per cell
# DFT total energy = -4.075 eV per atom

# AcNdSm, optimized geometry, DFT PBE
data_AcNdSm
_chemical_formula_sum 'Ac2 Nd2 Sm2'
_cell_length_a 3.793
_cell_length_b 3.793
_cell_length_c 15.811
_cell_angle_alpha 90.00
_cell_angle_beta 90.00
_cell_angle_gamma 90.00
_space_group_name_H-M_alt 'I 4 m m'
_space_group_IT_number 107
_space_group_name_Hall 'I 4 -2'
loop_
_atom_site_label
_atom_site_fract_x
_atom_site_fract_y
_atom_site_fract_z
Ac1 0.000 0.000 0.000
Nd1 0.000 0.000 0.327
Sm1 0.000 0.000 0.671
# calculated formation energy = 0.036 eV per atom
# calculated volume = 227.41 Å³ per cell
# distance to the lowest polymorph of the same formula = 0.00 eV per formula unit
# theoretical density = 7.62 Mg/m³
# density of states at the Fermi level = 10.14 states/eV per cell
# DFT total energy = -4.496 eV per atom

# UCd2F8, optimized geometry, DFT PBE
data_UCd2F8
_chemical_formula_sum 'U2 Cd4 F16'
_cell_length_a 14.010
_cell_length_b 4.019
_cell_length_c 5.488
_cell_angle_alpha 90.00
_cell_angle_beta 106.03
_cell_angle_gamma 90.00
_space_group_name_H-M_alt 'C 1 2/m 1'
_space_group_IT_number 12
_space_group_name_Hall '-C 2y'
loop_
_atom_site_label
_atom_site_fract_x
_atom_site_fract_y
_atom_site_fract_z
U1 0.000 0.000 0.000
Cd1 0.196 0.500 0.704
F1 0.045 0.500 0.828
F2 0.082 0.000 0.390
F3 0.161 0.000 0.949
F4 0.215 0.500 0.320
# calculated volume = 297.01 Å³ per cell
# distance to the lowest polymorph of the same formula = 0.27 eV per formula unit
# theoretical density = 6.87 Mg/m³
# energy relative to the elements, uncorrected = -30.5 eV/f.u.
# density of states at the Fermi level = 5.89 states/eV per cell
# DFT total energy = -5.326 eV per atom

# LiIn3Bi3, optimized geometry, DFT PBE
data_LiIn3Bi3
_chemical_formula_sum 'Li2 In6 Bi6'
_cell_length_a 8.427
_cell_length_b 8.427
_cell_length_c 8.427
_cell_angle_alpha 90.00
_cell_angle_beta 90.00
_cell_angle_gamma 90.00
_space_group_name_H-M_alt 'P m -3 n'
_space_group_IT_number 223
_space_group_name_Hall '-P 4n 2 3'
loop_
_atom_site_label
_atom_site_fract_x
_atom_site_fract_y
_atom_site_fract_z
Li1 0.000 0.000 0.000
In1 0.000 0.250 0.500
Bi1 0.000 0.500 0.250
# calculated formation energy = 0.193 eV per atom
# calculated volume = 598.34 Å³ per cell
# theoretical density = 5.43 Mg/m³
# density of states at the Fermi level = 6.15 states/eV per cell
# DFT total energy = -2.918 eV per atom

# LiNbCu4, optimized geometry, DFT PBE
data_LiNbCu4
_chemical_formula_sum 'Li4 Nb4 Cu16'
_cell_length_a 6.875
_cell_length_b 6.875
_cell_length_c 6.875
_cell_angle_alpha 90.00
_cell_angle_beta 90.00
_cell_angle_gamma 90.00
_space_group_name_H-M_alt 'F -4 3 m'
_space_group_IT_number 216
_space_group_name_Hall 'F -4 2 3'
loop_
_atom_site_label
_atom_site_fract_x
_atom_site_fract_y
_atom_site_fract_z
Li1 0.000 0.000 0.000
Nb1 0.250 0.250 0.250
Cu1 0.125 0.125 0.625
# calculated formation energy = 0.130 eV per atom
# calculated volume = 325.00 Å³ per cell
# theoretical density = 7.24 Mg/m³
# density of states at the Fermi level = 22.81 states/eV per cell
# DFT total energy = -4.598 eV per atom

# Sc2TlZnC, optimized geometry, DFT PBE
data_Sc2TlZnC
_chemical_formula_sum 'Sc2 Tl1 Zn1 C1'
_cell_length_a 4.598
_cell_length_b 4.598
_cell_length_c 4.160
_cell_angle_alpha 90.00
_cell_angle_beta 90.00
_cell_angle_gamma 90.00
_space_group_name_H-M_alt 'P 4/m m m'
_space_group_IT_number 123
_space_group_name_Hall '-P 4 2'
loop_
_atom_site_label
_atom_site_fract_x
_atom_site_fract_y
_atom_site_fract_z
Sc1 0.000 0.500 0.000
Tl1 0.000 0.000 0.500
Zn1 0.500 0.500 0.500
C1 0.500 0.500 0.000
# calculated formation energy = -0.266 eV per atom
# calculated volume = 87.93 Å³ per cell
# theoretical density = 7.02 Mg/m³
# density of states at the Fermi level = 2.50 states/eV per cell
# DFT total energy = -5.372 eV per atom